[1]
## MgBiRuO6 (PBE-GGA)

Data for a relaxed structure of MgBiRuO6.

Computed properties:
The energy relative to the elements, uncorrected comes out at -1229.6 meV per atom. The value obtained for the total magnetization is 1.027 μB/f.u. The energy is -55.57 eV per formula unit.

a b c (Å): 5.4216 5.4216 8.7584
angles (deg): 90.00 90.00 120.00
Space group P-31c (No. 163)
Asymmetric unit:
1 Mg 0.0000 0.0000 0.0000 x2
2 Bi 0.3333 0.6667 0.2500 x2
3 Ru 0.3333 0.6667 0.7500 x2
4 O 0.0416 0.3638 0.6269 x12

=====

[2]
## Mg2BiRuO (PBE-GGA)

Data for a relaxed structure of Mg2BiRuO.

Computed properties:
The energy relative to the elements, uncorrected comes out at -231.2 meV per atom. The value obtained for the total magnetization is 0.000 μB/f.u. The energy is -22.46 eV per formula unit. The value obtained for the energy above the most stable polymorph in this dataset is 0.000 eV per formula unit.

a b c (Å): 5.3859 5.3859 3.6776
angles (deg): 90.00 90.00 90.00
Space group P4/mmm (No. 123)
Asymmetric unit:
1 Mg 0.0000 0.5000 0.0000 x2
2 Bi 0.0000 0.0000 0.5000 x1
3 Ru 0.5000 0.5000 0.0000 x1
4 O 0.5000 0.5000 0.5000 x1

=====

[3]
## Mg2BiRuO (PBE-GGA)

Data for a relaxed structure of Mg2BiRuO.

Computed properties:
The energy relative to the elements, uncorrected comes out at 398.3 meV per atom. The value obtained for the total magnetization is 0.000 μB/f.u. The energy is -19.31 eV per formula unit. The value obtained for the energy above the most stable polymorph in this dataset is 3.148 eV per formula unit.

a b c (Å): 4.9038 4.9038 5.0185
angles (deg): 90.00 90.00 90.00
Space group P4/mmm (No. 123)
Asymmetric unit:
1 Mg 0.0000 0.5000 0.0000 x2
2 Bi 0.0000 0.0000 0.5000 x1
3 Ru 0.0000 0.0000 0.0000 x1
4 O 0.5000 0.5000 0.5000 x1

=====

[4]
## MgBiS2O8 (PBE-GGA)

Data for a relaxed structure of MgBiS2O8.

Computed properties:
The energy relative to the elements, uncorrected comes out at -1480.4 meV per atom. The value obtained for the total magnetization is 1.008 μB/f.u. The energy is -71.16 eV per formula unit.

a b c (Å): 5.1965 5.1965 7.1106
angles (deg): 90.00 90.00 120.00
Space group P-3m1 (No. 164)
Asymmetric unit:
1 Mg 0.0000 0.0000 0.0000 x1
2 Bi 0.0000 0.0000 0.5000 x1
3 S 0.3333 0.6667 0.7427 x2
4 O 0.1766 0.3533 0.8117 x6
5 O 0.3333 0.6667 0.5345 x2

=====

[5]
## Mg2BiSbO6 (PBE-GGA)

Data for a relaxed structure of Mg2BiSbO6.

Computed properties:
The energy relative to the elements, uncorrected comes out at -1776.6 meV per atom. The value obtained for the total magnetization is 0.000 μB/f.u. The energy is -58.71 eV per formula unit. The value obtained for the energy above the most stable polymorph in this dataset is 1.237 eV per formula unit.

a b c (Å): 5.5946 8.0689 5.6062
angles (deg): 90.00 92.22 90.00
Space group P2_1/m (No. 11)
Asymmetric unit:
1 Mg 0.0199 0.2500 0.4738 x2
2 Mg 0.4704 0.7500 0.9868 x2
3 Bi 0.0000 0.0000 0.0000 x2
4 Sb 0.5000 0.0000 0.5000 x2
5 O 0.1268 0.7500 0.8582 x2
6 O 0.1823 0.5695 0.3732 x4
7 O 0.3625 0.0720 0.8079 x4
8 O 0.3958 0.2500 0.3605 x2

=====

[6]
## Mg2BiSbO6 (PBE-GGA)

Data for a relaxed structure of Mg2BiSbO6.

Computed properties:
The energy relative to the elements, uncorrected comes out at -1900.3 meV per atom. The value obtained for the total magnetization is 0.000 μB/f.u. The energy is -59.95 eV per formula unit. The value obtained for the energy above the most stable polymorph in this dataset is 0.000 eV per formula unit.

a b c (Å): 5.4312 5.4312 14.7187
angles (deg): 90.00 90.00 120.00
Space group R3 (No. 146, hexagonal axes)
Asymmetric unit:
1 Mg 0.0000 0.0000 0.0000 x3
2 Mg 0.0000 0.0000 0.4888 x3
3 Bi 0.0000 0.0000 0.2133 x3
4 Sb 0.0000 0.0000 0.6953 x3
5 O 0.0127 0.3356 0.7585 x9
6 O 0.0326 0.6251 0.2693 x9